Compound: PuGa4Os
Source: the Alexandria database
Functional: GGA-PBE
Structure: relaxed

Lattice parameters (Å, degrees): 7.698 4.139 6.915 90.00 90.00 90.00
Space group Pmma (No. 51)
Unique sites:
Pu  0.250  0.000  0.129 x2
Ga  0.000  0.000  0.500 x2
Ga  0.064  0.500  0.822 x4
Ga  0.250  0.500  0.449 x2
Os  0.250  0.000  0.711 x2

Output
Density: 10.7 g/cm³
Energy of formation: -30 kJ/mol of atoms
VASP energy: -79.07 eV for the cell shown
M_tot: 10.0 μB/cell

---

Compound: Li2RhAu
Source: the Alexandria database
Functional: GGA-PBE
Structure: relaxed

Lattice parameters (Å, degrees): 3.685 3.833 8.170 90.00 90.00 90.00
Space group Imm2 (No. 44)
Unique sites:
Li  0.000  0.000  0.000 x2
Li  0.000  0.500  0.252 x2
Rh  0.000  0.500  0.750 x2
Au  0.000  0.000  0.503 x2

Output
Density: 9.0 g/cm³
Energy of formation: -22 kJ/mol of atoms
VASP energy: -30.76 eV for the cell shown
M_tot: 0.0 μB/cell

---

Compound: CaDy2ThSe4
Source: the Alexandria database
Functional: GGA-PBE
Structure: relaxed

Lattice parameters (Å, degrees): 7.096 4.087 7.285 90.00 108.87 90.00
Space group P2/m (No. 10)
Unique sites:
Ca  0.000  0.000  0.000 x1
Dy  0.500  0.000  0.500 x1
Dy  0.500  0.500  0.000 x1
Th  0.000  0.500  0.500 x1
Se  0.256  0.500  0.248 x2
Se  0.260  0.000  0.759 x2

Output
Density: 7.6 g/cm³
VASP energy: -46.39 eV for the cell shown
Uncorrected formation energy: -13.827 eV/f.u.
M_tot: 0.0 μB/cell

---

Compound: Pm2Pr5NdDy
Source: the Alexandria database
Functional: GGA-PBE
Structure: relaxed

Lattice parameters (Å, degrees): 8.970 8.970 15.940 90.00 90.00 90.00
Space group I4/mcm (No. 140)
Unique sites:
Pm  0.116  0.384  0.000 x8
Pr  0.000  0.000  0.000 x4
Pr  0.209  0.291  0.361 x16
Nd  0.000  0.000  0.250 x4
Dy  0.000  0.500  0.250 x4

Output
Density: 6.7 g/cm³
Energy of formation: 26 kJ/mol of atoms
VASP energy: -161.26 eV for the cell shown
M_tot: 0.0 μB/cell

---

Compound: SrCr2Pt
Source: the Alexandria database
Functional: GGA-PBE
Structure: relaxed

Lattice parameters (Å, degrees): 4.348 4.348 4.440 90.00 90.00 90.00
Space group P4/mmm (No. 123)
Unique sites:
Sr  0.000  0.000  0.000 x1
Cr  0.000  0.500  0.500 x2
Pt  0.500  0.500  0.000 x1

Output
Density: 7.6 g/cm³
Energy of formation: 46 kJ/mol of atoms
VASP energy: -25.06 eV for the cell shown
M_tot: 9.3 μB/cell

---

Compound: TiZnBi2O6
Source: the Alexandria database
Functional: GGA-PBE
Structure: relaxed

Lattice parameters (Å, degrees): 5.295 5.295 4.996 90.00 90.00 90.00
Space group P4mm (No. 99)
Unique sites:
Ti  0.000  0.000  0.000 x1
Zn  0.500  0.500  0.033 x1
Bi  0.000  0.500  0.585 x2
O  0.000  0.000  0.358 x1
O  0.243  0.243  0.858 x4
O  0.500  0.500  0.415 x1

Output
Density: 7.4 g/cm³
VASP energy: -64.41 eV for the cell shown
Uncorrected formation energy: -17.726 eV/f.u.
M_tot: 0.0 μB/cell
Offset from the most stable computed form: 18 meV/atom

---

Computed density of states at the Fermi level, in the same sequence as the records: 8.92, 1.94, 4.39, 15.07, 3.75, 0.00 states/eV/f.u..